# 1
# NbTl2SbP

A geometry-optimized NbTl2SbP structure (PBE, the Alexandria database).

The uncorrected formation energy comes out at 1260 meV per atom. Its total magnetic moment is 1.9 μB/f.u. For the final energy, the calculation gives -3.6074 eV/atom.

It has space group P4/mmm (No. 123), with a = 5.787 Å, b = 5.787 Å, c = 5.354 Å, α = 90.00°, β = 90.00° and γ = 90.00°. The asymmetric unit holds Nb at (0.000, 0.000, 0.000), Tl at (0.000, 0.500, 0.500), Sb at (0.000, 0.000, 0.500) and P at (0.500, 0.500, 0.000).


# 2
# ScNbP3

A geometry-optimized ScNbP3 structure (PBE, the Alexandria database).

Its total magnetic moment is 0.0 μB/f.u. For the final energy, the calculation gives -5.7136 eV/atom. As for the offset from the most stable computed form: 387 kJ/mol of formula units.

It has space group Pm-3m (No. 221), with a = 4.738 Å, b = 4.738 Å, c = 4.738 Å, α = 90.00°, β = 90.00° and γ = 90.00°. The asymmetric unit holds Sc at (0.000, 0.000, 0.000), Nb at (0.500, 0.500, 0.500) and P at (0.000, 0.000, 0.500).


# 3
# Sc3NbP

A geometry-optimized Sc3NbP structure (PBE, the Alexandria database).

Its total magnetic moment is 0.0 μB/f.u. For the final energy, the calculation gives -6.2012 eV/atom. As for the offset from the most stable computed form: 358 kJ/mol of formula units.

It has space group Pm-3m (No. 221), with a = 4.996 Å, b = 4.996 Å, c = 4.996 Å, α = 90.00°, β = 90.00° and γ = 90.00°. The asymmetric unit holds Sc at (0.000, 0.000, 0.500), Nb at (0.000, 0.000, 0.000) and P at (0.500, 0.500, 0.500).


# 4
# Sc3NbP

A geometry-optimized Sc3NbP structure (PBE, the Alexandria database).

Its total magnetic moment is 2.6 μB/f.u. For the final energy, the calculation gives -6.9435 eV/atom. As for the offset from the most stable computed form: 0 kJ/mol of formula units.

It has space group Pm-3m (No. 221), with a = 4.884 Å, b = 4.884 Å, c = 4.884 Å, α = 90.00°, β = 90.00° and γ = 90.00°. The asymmetric unit holds Sc at (0.000, 0.000, 0.500), Nb at (0.500, 0.500, 0.500) and P at (0.000, 0.000, 0.000).